[1]
! Tb2HoSi2 PBE-GGA relaxed; values from VASP
! **Uncorrected energy**: -0.20763 hartree per atom
! **V**: 23.7 Å³/atom
! **E_form (uncorrected)**: -713 meV/atom
&SYSTEM
  ibrav = 0, nat = 10, ntyp = 3
/
ATOMIC_SPECIES
Tb 158.93 Tb.upf
Ho 164.93 Ho.upf
Si 28.09 Si.upf
ATOMIC_POSITIONS crystal
Tb 0.176 0.324 0.000
Tb 0.324 0.824 0.000
Tb 0.676 0.176 0.000
Tb 0.824 0.676 0.000
Ho 0.000 0.000 0.500
Ho 0.500 0.500 0.500
Si 0.116 0.616 0.500
Si 0.384 0.116 0.500
Si 0.616 0.884 0.500
Si 0.884 0.384 0.500
CELL_PARAMETERS angstrom
7.483 0.000 0.000
0.000 7.483 0.000
0.000 0.000 4.239

[2]
! NaNd2Lu PBE-GGA relaxed; values from VASP
! **Uncorrected energy**: -0.13740 hartree per atom
! **V**: 33.9 Å³/atom
! **E_form**: 0.105 eV per atom
&SYSTEM
  ibrav = 0, nat = 4, ntyp = 3
/
ATOMIC_SPECIES
Na 22.99 Na.upf
Nd 144.24 Nd.upf
Lu 174.97 Lu.upf
ATOMIC_POSITIONS crystal
Na 0.000 0.000 0.000
Nd 0.500 0.500 0.268
Nd 0.500 0.500 0.732
Lu 0.000 0.000 0.500
CELL_PARAMETERS angstrom
3.523 0.000 0.000
0.000 3.523 0.000
0.000 0.000 10.936

[3]
! PuMgH5 PBE-GGA relaxed; values from VASP
! **Uncorrected energy**: -0.18326 hartree per atom
! **V**: 8.6 Å³/atom
&SYSTEM
  ibrav = 0, nat = 7, ntyp = 3
/
ATOMIC_SPECIES
Pu 244.00 Pu.upf
Mg 24.30 Mg.upf
H 1.01 H.upf
ATOMIC_POSITIONS crystal
Pu 0.000 0.000 0.000
Mg 0.500 0.500 0.500
H 0.000 0.500 0.280
H 0.000 0.500 0.720
H 0.500 0.000 0.280
H 0.500 0.000 0.720
H 0.500 0.500 0.000
CELL_PARAMETERS angstrom
3.346 0.000 0.000
0.000 3.346 0.000
0.000 0.000 5.376

[4]
! CaZnCl3 PBE-GGA relaxed; values from VASP
! **Uncorrected energy**: -0.10591 hartree per atom
! **V**: 24.7 Å³/atom
! **E_form (uncorrected)**: -1119 meV/atom
&SYSTEM
  ibrav = 0, nat = 5, ntyp = 3
/
ATOMIC_SPECIES
Ca 40.08 Ca.upf
Zn 65.41 Zn.upf
Cl 35.45 Cl.upf
ATOMIC_POSITIONS crystal
Ca 0.000 0.000 0.000
Zn 0.500 0.500 0.500
Cl 0.000 0.500 0.500
Cl 0.500 0.000 0.500
Cl 0.500 0.500 0.000
CELL_PARAMETERS angstrom
4.983 0.000 0.000
0.000 4.983 0.000
0.000 0.000 4.983

[5]
! VTe2SN PBE-GGA relaxed; values from VASP
! **Uncorrected energy**: -0.17233 hartree per atom
! **V**: 20.1 Å³/atom
! **E_form (uncorrected)**: 882 meV/atom
&SYSTEM
  ibrav = 0, nat = 5, ntyp = 4
/
ATOMIC_SPECIES
V 50.94 V.upf
Te 127.60 Te.upf
S 32.06 S.upf
N 14.01 N.upf
ATOMIC_POSITIONS crystal
V 0.000 0.000 0.000
Te 0.000 0.500 0.500
Te 0.500 0.000 0.500
S 0.500 0.500 0.500
N 0.500 0.500 0.000
CELL_PARAMETERS angstrom
5.463 0.000 0.000
0.000 5.463 0.000
0.000 0.000 3.361

[6]
! Ac5La2Sm5 PBE-GGA relaxed; values from VASP
! **Uncorrected energy**: -0.16386 hartree per atom
! **V**: 38.9 Å³/atom
! **E_form**: 0.041 eV per atom
&SYSTEM
  ibrav = 0, nat = 12, ntyp = 3
/
ATOMIC_SPECIES
Ac 227.00 Ac.upf
La 138.91 La.upf
Sm 150.36 Sm.upf
ATOMIC_POSITIONS crystal
Ac 0.000 0.000 0.000
Ac 0.161 0.161 0.497
Ac 0.250 0.250 0.245
Ac 0.750 0.750 0.755
Ac 0.839 0.839 0.503
La 0.083 0.083 0.756
La 0.917 0.917 0.244
Sm 0.332 0.332 0.000
Sm 0.420 0.420 0.752
Sm 0.500 0.500 0.500
Sm 0.580 0.580 0.248
Sm 0.668 0.668 0.000
CELL_PARAMETERS angstrom
8.086 -2.677 0.000
8.086 2.677 0.000
-5.397 0.000 10.784

Repeat the fifth record exactly.
! VTe2SN PBE-GGA relaxed; values from VASP
! **Uncorrected energy**: -0.17233 hartree per atom
! **V**: 20.1 Å³/atom
! **E_form (uncorrected)**: 882 meV/atom
&SYSTEM
  ibrav = 0, nat = 5, ntyp = 4
/
ATOMIC_SPECIES
V 50.94 V.upf
Te 127.60 Te.upf
S 32.06 S.upf
N 14.01 N.upf
ATOMIC_POSITIONS crystal
V 0.000 0.000 0.000
Te 0.000 0.500 0.500
Te 0.500 0.000 0.500
S 0.500 0.500 0.500
N 0.500 0.500 0.000
CELL_PARAMETERS angstrom
5.463 0.000 0.000
0.000 5.463 0.000
0.000 0.000 3.361